# TiMoC PBE relaxed
# Calculated density: 6.64 g/cm³
# Calculated volume: 12.996 Å³/atom
# DFT formation energy: -28 kJ/mol of atoms
# E above lowest polymorph: 146.1 meV/atom
# Total magnetic moment: 0.0 μB/cell
data_TiMoC
_chemical_formula_sum 'Ti2 Mo2 C2'
_space_group_name_H-M_alt 'P m m n'
_space_group_IT_number 59
_cell_length_a 3.056
_cell_length_b 4.354
_cell_length_c 5.861
_cell_angle_alpha 90.00
_cell_angle_beta 90.00
_cell_angle_gamma 90.00
loop_
_space_group_symop_operation_xyz
'x,y,z'
'-x,-y,-z'
'-x+1/2,-y+1/2,z'
'x+1/2,y+1/2,-z'
'x+1/2,-y,-z'
'-x+1/2,y,z'
'-x,y+1/2,-z'
'x,-y+1/2,z'
loop_
_atom_site_label
_atom_site_fract_x
_atom_site_fract_y
_atom_site_fract_z
Ti1 0.250 0.250 0.121
Mo1 0.250 0.250 0.610
C1 0.250 0.750 0.637